Computed, not measured: a relaxed PRhPbCl2 crystal at the PBE level of DFT.

Cell lengths 5.392, 5.392, 5.366 Å; angles 90.00, 90.00, 90.00 degrees
Each line ends with the local moment (μB).
Fractional positions:
1 Pb 0.000 0.000 0.000  -0.01
2 P 0.000 0.000 0.500  0.49
3 Rh 0.500 0.500 0.500  1.64
4 Cl 0.000 0.500 0.000  0.06
5 Cl 0.500 0.000 0.000  0.06

- total magnetic moment (μB per cell) = 3.05
- N(E_F) (states/eV per cell) = 11.89
- offset from the most stable computed form (meV/atom) = 950.5